1.
A relaxed structure of Ce2YScSe4. Source: the Alexandria database, functional PBE.

Calculated values
space-group type: P2/m (10)
Fermi-level density of states: 13.04 states/eV per cell
VASP energy: -6.571 eV per atom
mass density: 6.24 g/cm3
V: 194 Å³/cell

Cell lengths 4.0530, 7.0412, 7.2004 Å; angles 108.91, 90.00, 90.00 degrees
Last column: nearest neighbours and their distance in Å.
Element x y z (fractional)
Sc1 0.0000 0.0000 0.0000  6 Se 2.79
Se1 0.5000 0.2351 0.2285  2 Sc 2.79, 1 Y 2.86, 3 Ce 2.94-3.01
Se2 0.0000 0.7523 0.2337  1 Sc 2.79, 2 Y 2.86, 3 Ce 2.94-3.01
Se3 0.0000 0.2477 0.7663  1 Sc 2.79, 2 Y 2.86, 3 Ce 2.94-3.01
Se4 0.5000 0.7649 0.7715  2 Sc 2.79, 1 Y 2.86, 3 Ce 2.94-3.01
Ce1 0.5000 0.0000 0.5000  6 Se 2.94
Ce2 0.0000 0.5000 0.5000  6 Se 3.01
Y1 0.5000 0.5000 0.0000  6 Se 2.86

=====

2.
A relaxed structure of LaAl2Fe9. Source: the Alexandria database, functional PBE.

Calculated values
space-group type: P4/mbm (127)
Fermi-level density of states: 33.60 states/eV per cell
VASP energy: -7.464 eV per atom
mass density: 7.10 g/cm3
V: 325 Å³/cell

Cell lengths 4.7869, 8.2433, 8.2433 Å; angles 90.00, 90.00, 90.00 degrees
Last column: nearest neighbours and their distance in Å.
Element x y z (fractional)
Al1 0.0000 0.1183 0.3817  12 Fe 2.66-2.78, 1 Al 2.76
Al2 0.0000 0.3817 0.8817  12 Fe 2.66-2.78, 1 Al 2.76
Al3 0.0000 0.8817 0.6183  12 Fe 2.66-2.78, 1 Al 2.76
Al4 0.0000 0.6183 0.1183  12 Fe 2.66-2.78, 1 Al 2.76
Fe1 0.5000 0.4313 0.7178  8 Fe 2.39-2.66
Fe2 0.2402 0.6759 0.8241  7 Fe 2.30-2.53
Fe3 0.5000 0.5000 0.0000  8 Fe 2.39-2.40
Fe4 0.5000 0.0687 0.2178  8 Fe 2.39-2.66
Fe5 0.5000 0.7178 0.5687  8 Fe 2.39-2.66
Fe6 0.5000 0.7822 0.0687  8 Fe 2.39-2.66
Fe7 0.2402 0.8241 0.3241  7 Fe 2.30-2.53
Fe8 0.7598 0.6759 0.8241  7 Fe 2.30-2.53
Fe9 0.7598 0.3241 0.1759  7 Fe 2.30-2.53
Fe10 0.5000 0.9313 0.7822  8 Fe 2.39-2.66
Fe11 0.7598 0.8241 0.3241  7 Fe 2.30-2.53
Fe12 0.5000 0.0000 0.5000  8 Fe 2.39-2.40
Fe13 0.5000 0.5687 0.2822  8 Fe 2.39-2.66
Fe14 0.2402 0.3241 0.1759  7 Fe 2.30-2.53
Fe15 0.2402 0.1759 0.6759  7 Fe 2.30-2.53
Fe16 0.7598 0.1759 0.6759  7 Fe 2.30-2.53
Fe17 0.5000 0.2178 0.9313  8 Fe 2.39-2.66
Fe18 0.5000 0.2822 0.4313  8 Fe 2.39-2.66
La1 0.0000 0.0000 0.0000  16 Fe 3.04-3.25, 4 Al 3.29
La2 0.0000 0.5000 0.5000  16 Fe 3.04-3.25, 4 Al 3.29

=====

3.
A relaxed structure of AgSbPt. Source: the Alexandria database, functional PBE.

Calculated values
space-group type: P-6m2 (187)
Fermi-level density of states: 1.17 states/eV per cell
VASP energy: -4.388 eV per atom
energy above the most stable polymorph in this dataset: 0.39 eV per formula unit
mass density: 12.00 g/cm3
V: 59 Å³/cell

Cell lengths 4.6609, 4.6609, 3.1249 Å; angles 90.00, 90.00, 120.00 degrees
Last column: nearest neighbours and their distance in Å.
Element x y z (fractional)
Sb1 0.3333 0.6667 0.5001  3 Pt 2.69
Ag1 0.0000 0.0000 0.0001  6 Pt 3.11, 6 Sb 3.11, 2 Ag 3.12
Pt1 0.6667 0.3333 0.4998  3 Sb 2.69

=====

4.
A relaxed structure of Re4Te. Source: the Alexandria database, functional PBE.

Calculated values
space-group type: Pm-3m (221)
Fermi-level density of states: 5.22 states/eV per cell
VASP energy: -7.595 eV per atom
energy above the most stable polymorph in this dataset: 11.92 eV per formula unit
mass density: 13.64 g/cm3
V: 106 Å³/cell

Cell lengths 4.7359, 4.7359, 4.7359 Å; angles 90.00, 90.00, 90.00 degrees
Last column: nearest neighbours and their distance in Å.
Element x y z (fractional)
Re1 0.5000 0.0000 0.5000  2 Te 2.37
Re2 0.0000 0.0000 0.0000  12 Re 3.35
Re3 0.0000 0.5000 0.5000  2 Te 2.37
Re4 0.5000 0.5000 0.0000  2 Te 2.37
Te1 0.5000 0.5000 0.5000  6 Re 2.37

=====

5.
A relaxed structure of DyPaNiIr. Source: the Alexandria database, functional PBE.

Calculated values
space-group type: F-43m (216)
Fermi-level density of states: 5.42 states/eV per cell
VASP energy: -7.681 eV per atom
energy above the most stable polymorph in this dataset: 0.81 eV per formula unit
mass density: 13.38 g/cm3
V: 80 Å³/cell

Cell lengths 4.8365, 4.8365, 4.8365 Å; angles 60.00, 60.00, 60.00 degrees
Last column: nearest neighbours and their distance in Å.
Element x y z (fractional)
Ir1 0.7500 0.7500 0.7500  4 Pa 2.96, 4 Dy 2.96
Ni1 0.2500 0.2500 0.2500  4 Dy 2.96, 4 Pa 2.96
Pa1 0.5000 0.5000 0.5000  4 Ni 2.96, 4 Ir 2.96
Dy1 0.0000 0.0000 0.0000  4 Ni 2.96, 4 Ir 2.96

=====

6.
A relaxed structure of Pm4TePtSe2. Source: the Alexandria database, functional PBE.

Calculated values
space-group type: P2/m (10)
Fermi-level density of states: 4.82 states/eV per cell
VASP energy: -5.926 eV per atom
mass density: 7.92 g/cm3
V: 222 Å³/cell

Cell lengths 4.1989, 7.4552, 7.5076 Å; angles 71.02, 90.00, 90.00 degrees
Last column: nearest neighbours and their distance in Å.
Element x y z (fractional)
Te1 0.5000 0.5000 0.0000  6 Pm 3.11-3.12
Pt1 0.0000 0.5000 0.5000  6 Pm 2.92-3.03
Pm1 0.0000 0.2374 0.2659  3 Se 2.93-3.07, 1 Pt 3.03, 2 Te 3.11
Pm2 0.0000 0.7626 0.7341  3 Se 2.93-3.07, 1 Pt 3.03, 2 Te 3.11
Pm3 0.5000 0.7391 0.2721  2 Pt 2.92, 3 Se 2.98-3.13, 1 Te 3.12
Pm4 0.5000 0.2609 0.7279  2 Pt 2.92, 3 Se 2.98-3.13, 1 Te 3.12
Se1 0.0000 0.0000 0.0000  6 Pm 3.07-3.13
Se2 0.5000 0.0000 0.5000  6 Pm 2.93-2.98

=====

7.
A relaxed structure of La5TcN5. Source: the Alexandria database, functional PBE.

Calculated values
space-group type: C2/m (12)
Fermi-level density of states: 4.67 states/eV per cell
VASP energy: -7.765 eV per atom
mass density: 7.22 g/cm3
V: 198 Å³/cell

Cell lengths 5.2047, 6.1711, 7.1892 Å; angles 106.86, 90.00, 114.94 degrees
Last column: nearest neighbours and their distance in Å.
Element x y z (fractional)
N1 0.1550 0.3100 0.3150  1 Tc 2.37, 4 La 2.50-2.61
N2 0.1606 0.3212 0.8430  1 Tc 2.41, 5 La 2.42-2.60
N3 0.8450 0.6900 0.6850  1 Tc 2.37, 4 La 2.50-2.61
N4 0.8394 0.6788 0.1570  1 Tc 2.41, 5 La 2.42-2.60
N5 0.5000 0.0000 0.0000  4 La 2.43-2.47, 2 Tc 2.60
Tc1 0.0000 0.0000 0.0000  6 N 2.37-2.60
La1 0.0000 0.0000 0.5000  4 N 2.50-2.54
La2 0.6669 0.3339 0.3145  4 N 2.43-2.61
La3 0.3309 0.6618 0.1522  5 N 2.42-2.60
La4 0.3331 0.6661 0.6855  4 N 2.43-2.61
La5 0.6691 0.3382 0.8478  5 N 2.42-2.60

=====

8.
A relaxed structure of DyPdPt6. Source: the Alexandria database, functional PBE.

Calculated values
space-group type: P4/mmm (123)
Fermi-level density of states: 10.26 states/eV per cell
VASP energy: -6.254 eV per atom
mass density: 18.05 g/cm3
V: 132 Å³/cell

Cell lengths 4.0185, 4.0185, 8.1995 Å; angles 90.00, 90.00, 90.00 degrees
Last column: nearest neighbours and their distance in Å.
Element x y z (fractional)
Dy1 0.0000 0.0000 0.0000  12 Pt 2.84-2.92
Pt1 0.0000 0.5000 0.2578  8 Pt 2.83-2.92, 2 Pd 2.83, 2 Dy 2.92
Pt2 0.5000 0.5000 0.5000  8 Pt 2.83, 4 Pd 2.84
Pt3 0.0000 0.5000 0.7422  8 Pt 2.83-2.92, 2 Pd 2.83, 2 Dy 2.92
Pt4 0.5000 0.0000 0.7422  8 Pt 2.83-2.92, 2 Pd 2.83, 2 Dy 2.92
Pt5 0.5000 0.0000 0.2578  8 Pt 2.83-2.92, 2 Pd 2.83, 2 Dy 2.92
Pt6 0.5000 0.5000 0.0000  4 Dy 2.84, 8 Pt 2.92
Pd1 0.0000 0.0000 0.5000  12 Pt 2.83-2.84

=====

9.
A relaxed structure of Na3Fe5Se12. Source: the Alexandria database, functional PBE.

Calculated values
space-group type: Ia-3d (230)
Fermi-level density of states: 48.35 states/eV per cell
VASP energy: -4.701 eV per atom
mass density: 4.84 g/cm3
V: 1778 Å³/cell

Cell lengths 13.2197, 13.2197, 13.2197 Å; angles 109.47, 109.47, 109.47 degrees
Last column: nearest neighbours and their distance in Å.
Element x y z (fractional)
Se1 0.0807 0.1849 0.4811  2 Fe 2.27-2.45
Se2 0.3151 0.5189 0.4193  2 Fe 2.27-2.45
Se3 0.4004 0.9811 0.7962  2 Fe 2.27-2.45
Se4 0.4811 0.6849 0.0807  2 Fe 2.27-2.45
Se5 0.2962 0.3959 0.8151  2 Fe 2.27-2.45
Se6 0.9193 0.1041 0.9004  2 Fe 2.27-2.45
Se7 0.0189 0.4193 0.8151  2 Fe 2.27-2.45
Se8 0.4193 0.4004 0.6041  2 Fe 2.27-2.45
Se9 0.3959 0.2962 0.3151  2 Fe 2.27-2.45
Se10 0.5807 0.5996 0.3959  2 Fe 2.27-2.45
Se11 0.4193 0.0189 0.3151  2 Fe 2.27-2.45
Se12 0.1041 0.1849 0.2038  2 Fe 2.27-2.45
Se13 0.0807 0.8959 0.0996  2 Fe 2.27-2.45
Se14 0.9004 0.2962 0.4811  2 Fe 2.27-2.45
Se15 0.3959 0.0996 0.5807  2 Fe 2.27-2.45
Se16 0.4811 0.7962 0.9004  2 Fe 2.27-2.45
Se17 0.7038 0.6041 0.1849  2 Fe 2.27-2.45
Se18 0.5189 0.3151 0.9193  2 Fe 2.27-2.45
Se19 0.8151 0.9193 0.0189  2 Fe 2.27-2.45
Se20 0.9811 0.4004 0.2962  2 Fe 2.27-2.45
Se21 0.2038 0.5189 0.5996  2 Fe 2.27-2.45
Se22 0.5996 0.0189 0.2038  2 Fe 2.27-2.45
Se23 0.1041 0.9193 0.4004  2 Fe 2.27-2.45
Se24 0.5189 0.2038 0.0996  2 Fe 2.27-2.45
Se25 0.9004 0.6041 0.9193  2 Fe 2.27-2.45
Se26 0.9811 0.5807 0.1849  2 Fe 2.27-2.45
Se27 0.0996 0.7038 0.5189  2 Fe 2.27-2.45
Se28 0.4004 0.4193 0.1041  2 Fe 2.27-2.45
Se29 0.2962 0.9004 0.9811  2 Fe 2.27-2.45
Se30 0.5996 0.5807 0.8959  2 Fe 2.27-2.45
Se31 0.8959 0.8151 0.7962  2 Fe 2.27-2.45
Se32 0.8959 0.0807 0.5996  2 Fe 2.27-2.45
Se33 0.1849 0.0807 0.9811  2 Fe 2.27-2.45
Se34 0.6849 0.2038 0.6041  2 Fe 2.27-2.45
Se35 0.0189 0.5996 0.7038  2 Fe 2.27-2.45
Se36 0.7038 0.0996 0.0189  2 Fe 2.27-2.45
Se37 0.6041 0.7038 0.6849  2 Fe 2.27-2.45
Se38 0.7962 0.4811 0.4004  2 Fe 2.27-2.45
Se39 0.2038 0.6849 0.1041  2 Fe 2.27-2.45
Se40 0.5807 0.9811 0.6849  2 Fe 2.27-2.45
Se41 0.8151 0.8959 0.2962  2 Fe 2.27-2.45
Se42 0.3151 0.7962 0.3959  2 Fe 2.27-2.45
Se43 0.6041 0.9004 0.4193  2 Fe 2.27-2.45
Se44 0.9193 0.8151 0.5189  2 Fe 2.27-2.45
Se45 0.7962 0.3151 0.8959  2 Fe 2.27-2.45
Se46 0.6849 0.4811 0.5807  2 Fe 2.27-2.45
Se47 0.1849 0.1041 0.7038  2 Fe 2.27-2.45
Se48 0.0996 0.3959 0.0807  2 Fe 2.27-2.45
Fe1 0.6250 0.7500 0.8750  4 Se 2.27
Fe2 0.1250 0.7500 0.3750  4 Se 2.27
Fe3 0.8750 0.2500 0.6250  4 Se 2.27
Fe4 0.5000 0.0000 0.5000  6 Se 2.45
Fe5 0.5000 0.5000 0.0000  6 Se 2.45
Fe6 0.3750 0.1250 0.7500  4 Se 2.27
Fe7 0.6250 0.8750 0.2500  4 Se 2.27
Fe8 0.0000 0.5000 0.5000  6 Se 2.45
Fe9 0.5000 0.5000 0.5000  6 Se 2.45
Fe10 0.1250 0.3750 0.2500  4 Se 2.27
Fe11 0.0000 0.0000 0.5000  6 Se 2.45
Fe12 0.8750 0.6250 0.7500  4 Se 2.27
Fe13 0.0000 0.0000 0.0000  6 Se 2.45
Fe14 0.2500 0.3750 0.6250  4 Se 2.27
Fe15 0.2500 0.8750 0.1250  4 Se 2.27
Fe16 0.7500 0.6250 0.3750  4 Se 2.27
Fe17 0.7500 0.1250 0.8750  4 Se 2.27
Fe18 0.5000 0.0000 0.0000  6 Se 2.45
Fe19 0.0000 0.5000 0.0000  6 Se 2.45
Fe20 0.3750 0.2500 0.1250  4 Se 2.27
Na1 0.6250 0.3750 0.7500  8 Se 2.96-3.18
Na2 0.8750 0.1250 0.2500  8 Se 2.96-3.18
Na3 0.3750 0.6250 0.2500  8 Se 2.96-3.18
Na4 0.6250 0.2500 0.3750  8 Se 2.96-3.18
Na5 0.7500 0.8750 0.6250  8 Se 2.96-3.18
Na6 0.2500 0.6250 0.8750  8 Se 2.96-3.18
Na7 0.1250 0.2500 0.8750  8 Se 2.96-3.18
Na8 0.2500 0.1250 0.3750  8 Se 2.96-3.18
Na9 0.8750 0.7500 0.1250  8 Se 2.96-3.18
Na10 0.3750 0.7500 0.6250  8 Se 2.96-3.18
Na11 0.7500 0.3750 0.1250  8 Se 2.96-3.18
Na12 0.1250 0.8750 0.7500  8 Se 2.96-3.18

=====

10.
A relaxed structure of Y3Mg3C. Source: the Alexandria database, functional PBE.

Calculated values
space-group type: Fd-3m (227)
Fermi-level density of states: 28.95 states/eV per cell
VASP energy: -4.947 eV per atom
mass density: 3.57 g/cm3
V: 653 Å³/cell

Cell lengths 9.7400, 9.7400, 9.7400 Å; angles 60.00, 60.00, 60.00 degrees
Last column: nearest neighbours and their distance in Å.
Element x y z (fractional)
Y1 0.0653 0.4347 0.0653  2 C 2.57
Y2 0.4347 0.0653 0.0653  2 C 2.57
Y3 0.4347 0.4347 0.0653  2 C 2.57
Y4 0.1847 0.1847 0.8153  2 C 2.57
Y5 0.1847 0.8153 0.1847  2 C 2.57
Y6 0.8153 0.1847 0.1847  2 C 2.57
Y7 0.8153 0.8153 0.1847  2 C 2.57
Y8 0.0653 0.4347 0.4347  2 C 2.57
Y9 0.4347 0.0653 0.4347  2 C 2.57
Y10 0.1847 0.8153 0.8153  2 C 2.57
Y11 0.8153 0.1847 0.8153  2 C 2.57
Y12 0.0653 0.0653 0.4347  2 C 2.57
Mg1 0.5099 0.8300 0.8300  6 Mg 2.96-3.12
Mg2 0.8300 0.5099 0.8300  6 Mg 2.96-3.12
Mg3 0.4200 0.7401 0.4200  6 Mg 2.96-3.12
Mg4 0.7401 0.4200 0.4200  6 Mg 2.96-3.12
Mg5 0.4200 0.4200 0.4200  6 Mg 2.96-3.12
Mg6 0.8300 0.8300 0.8300  6 Mg 2.96-3.12
Mg7 0.1250 0.6250 0.6250  6 Mg 2.96
Mg8 0.8300 0.8300 0.5099  6 Mg 2.96-3.12
Mg9 0.6250 0.6250 0.6250  6 Mg 2.96
Mg10 0.6250 0.6250 0.1250  6 Mg 2.96
Mg11 0.4200 0.4200 0.7401  6 Mg 2.96-3.12
Mg12 0.6250 0.1250 0.6250  6 Mg 2.96
C1 0.1250 0.1250 0.6250  6 Y 2.57
C2 0.6250 0.1250 0.1250  6 Y 2.57
C3 0.1250 0.1250 0.1250  6 Y 2.57
C4 0.1250 0.6250 0.1250  6 Y 2.57